# 1
PBE-GGA Cs2InCl2F4, optimized geometry; calculated total energy = -34.17 eV per cell; formation energy without anion corrections = -199 kJ per mole of atoms
1.0
-1.188 6.141 -2.053
-4.263 -4.293 -2.595
-0.728 -0.563 6.519
F Cl Cs In
4 2 2 1
Direct
0.607 0.803 0.803 F
0.000 0.197 0.803 F
0.393 0.197 0.197 F
0.000 0.803 0.197 F
0.000 0.339 0.339 Cl
0.000 0.661 0.661 Cl
0.500 0.250 0.750 Cs
0.500 0.750 0.250 Cs
0.000 0.000 0.000 In



# 2
PBE-GGA CsInCl2F, optimized geometry; calculated total energy = -17.83 eV per cell; formation energy without anion corrections = -167 kJ per mole of atoms
1.0
-1.903 -1.547 -5.021
-4.801 -1.656 2.330
-1.749 4.187 -0.627
Cs In F Cl
1 1 1 2
Direct
0.500 0.500 0.500 Cs
0.000 0.000 0.000 In
0.000 0.000 0.500 F
0.000 0.500 0.000 Cl
0.500 0.000 0.000 Cl



# 3
PBE-GGA CsInClF3, optimized geometry; calculated total energy = -48.75 eV per cell; formation energy without anion corrections = -214 kJ per mole of atoms
1.0
5.785 1.786 0.000
2.874 6.247 0.000
1.437 3.123 9.706
Cl F In Cs
2 6 2 2
Direct
0.250 0.581 0.839 Cl
0.750 0.419 0.161 Cl
0.750 0.153 0.693 F
0.537 0.894 0.907 F
0.037 0.802 0.093 F
0.463 0.106 0.093 F
0.250 0.847 0.307 F
0.963 0.198 0.907 F
0.750 0.047 0.906 In
0.250 0.953 0.094 In
0.750 0.661 0.677 Cs
0.250 0.339 0.323 Cs



What is the formation energy without anion corrections in the second record? -167 kJ per mole of atoms



What is the formula in the third record? CsInClF3



Among the records above, which one has the highest formation energy without anion corrections? CsInCl2F